Record 1
NaAuSN2 | Alexandria | PBE-GGA | optimized geometry; M_tot = 5.522 μB per formula unit; ρ = 4.70 g/cm³; SG = P4/mmm; energy relative to the elements, uncorrected = 2121 meV per atom
1.0
4.245 0.000 0.000
0.000 4.245 0.000
0.000 0.000 5.492
Na S Au N
1 1 1 2
Cartesian
0.000 0.000 0.000
0.000 0.000 2.746
2.123 2.123 2.746
0.000 2.123 0.000
2.123 0.000 0.000

Record 2
CaCr2Ru | Alexandria | PBE-GGA | optimized geometry; M_tot = 0.000 μB per formula unit; ρ = 4.90 g/cm³; SG = I4_1/amd; energy of formation from the pure elements = 94.6 kJ/mol of atoms
1.0
-2.442 3.685 0.638
-3.110 -1.578 -2.791
-6.648 -2.619 5.313
Ru Ca Cr
2 2 4
Cartesian
0.000 0.000 0.000
-5.933 1.060 2.437
-2.776 1.053 -1.077
-6.267 -1.572 0.723
-4.187 2.371 1.537
-5.743 1.585 0.142
-6.291 -0.780 3.874
-7.511 1.063 4.195

Record 3
CuRu2BrF | Alexandria | PBE-GGA | optimized geometry; M_tot = 3.973 μB per formula unit; ρ = 6.77 g/cm³; SG = P4/mmm; energy relative to the elements, uncorrected = 899 meV per atom
1.0
-1.156 -1.135 3.733
5.181 -0.393 1.485
-0.040 3.896 1.173
Ru Cu Br F
2 1 1 1
Cartesian
-0.020 1.948 0.586
-0.578 -0.568 1.866
1.992 1.184 3.195
2.591 -0.197 0.742
0.000 0.000 0.000